# 1
Computed, not measured: crystalline AgIr2Pt2 at its relaxed geometry at the PBE level of DFT.

Cell and atoms, written as extended XYZ:
```
10
Lattice="7.794 0.000 0.000 0.000 7.794 0.000 0.000 0.000 2.737" Properties=species:S:1:pos:R:3 pbc="T T T"
Ag 0.000 0.000 0.000
Ag 3.897 3.897 0.000
Ir 1.352 2.545 1.368
Ir 2.545 6.441 1.368
Ir 5.249 1.352 1.368
Ir 6.441 5.249 1.368
Pt 0.977 4.874 0.000
Pt 2.920 0.977 0.000
Pt 4.874 6.817 0.000
Pt 6.817 2.920 0.000
```

Values from the calculation:
Crystal system ... tetragonal
Spin magnetization ... 0.00 μB/atom
Distance to the lowest polymorph of the same formula ... 0.069 eV/atom


# 2
Computed, not measured: crystalline AgIrPt2 at its relaxed geometry at the PBE level of DFT.

Cell and atoms, written as extended XYZ:
```
12
Lattice="2.787 0.000 0.000 -1.393 2.414 0.000 0.000 0.000 28.106" Properties=species:S:1:pos:R:3 pbc="T T T"
Ag 0.000 0.000 0.000
Ag 0.000 1.609 18.738
Ag 1.393 0.805 9.369
Ir 0.000 0.000 21.133
Ir 0.000 1.609 11.764
Ir 1.393 0.805 2.396
Pt 0.000 0.000 6.964
Pt 0.000 0.000 13.996
Pt 0.000 1.609 4.628
Pt 0.000 1.609 25.701
Pt 1.393 0.805 16.333
Pt 1.393 0.805 23.365
```

Values from the calculation:
Crystal system ... trigonal
Spin magnetization ... 0.19 μB/atom
Distance to the lowest polymorph of the same formula ... 0.059 eV/atom


# 3
Computed, not measured: crystalline AgIrPt2 at its relaxed geometry at the PBE level of DFT.

Cell and atoms, written as extended XYZ:
```
4
Lattice="2.786 0.000 0.000 0.000 3.969 0.000 0.000 0.000 5.722" Properties=species:S:1:pos:R:3 pbc="T T T"
Ag 0.000 0.000 0.000
Ir 1.393 1.985 1.533
Pt 0.000 0.000 2.799
Pt 1.393 1.985 4.278
```

Values from the calculation:
Crystal system ... orthorhombic
Spin magnetization ... 0.00 μB/atom
Distance to the lowest polymorph of the same formula ... 0.153 eV/atom